Cs2MnHgF: optimized geometry, PBE+U.

extended XYZ file:
```
5
Lattice="7.2204 0.0000 0.0000 0.0000 7.2204 0.0000 0.0000 0.0000 5.2606" Properties=species:S:1:pos:R:3 pbc="T T T"
Cs 0.0000 3.6102 0.0000
Cs 3.6102 0.0000 0.0000
Mn 0.0000 0.0000 2.6303
Hg 3.6102 3.6102 0.0000
F 3.6102 3.6102 2.6303
```

## Properties
As for the electronic total energy: -2.506 eV per atom. As for the symmetry: No. 123.



CsMnHg2F8: optimized geometry, PBE+U.

extended XYZ file:
```
12
Lattice="5.2145 0.0000 0.0000 0.9480 5.4940 0.0000 0.0542 2.1075 7.3844" Properties=species:S:1:pos:R:3 pbc="T T T"
Cs 0.0000 0.0000 0.0000
Mn 0.0271 1.0537 3.6922
Hg 3.2003 4.8702 5.3997
Hg 3.0163 2.7313 1.9846
F 0.8181 1.9792 2.1923
F 1.9962 4.9071 3.3459
F 1.4904 1.5211 4.8034
F 2.6949 3.5967 7.0339
F 3.5218 4.0048 0.3505
F 4.7262 6.0804 2.5810
F 4.2205 2.6944 4.0384
F 5.3985 5.6223 5.1920
```

## Properties
As for the electronic total energy: -3.866 eV per atom. As for the symmetry: No. 2.



Cs3MnHg2F9: optimized geometry, PBE+U.

extended XYZ file:
```
15
Lattice="6.4556 0.0000 0.0000 -3.2278 5.5907 0.0000 0.0000 0.0000 7.9211" Properties=species:S:1:pos:R:3 pbc="T T T"
Cs 0.0000 0.0000 0.0000
Cs 0.0000 3.7271 5.3106
Cs 3.2278 1.8636 2.6105
Mn 0.0000 0.0000 3.9606
Hg 0.0000 3.7271 1.4221
Hg 3.2278 1.8636 6.4991
F -1.6139 2.7953 0.0000
F 0.0000 1.7631 2.7297
F -1.7009 4.7091 2.7297
F 1.5269 0.8816 5.1914
F 3.2278 0.0000 0.0000
F 1.6139 2.7953 0.0000
F 1.7009 4.7091 2.7297
F 4.9287 0.8816 5.1914
F 3.2278 3.8276 5.1914
```

## Properties
As for the electronic total energy: -4.091 eV per atom. As for the symmetry: No. 164.